1.
A relaxed La8Ge3Br4Cl crystal. Source: Alexandria, functional PBE. Values from VASP.

```
&SYSTEM
  ibrav = 0, nat = 16, ntyp = 4
/
ATOMIC_SPECIES
La 138.91 La.upf
Ge 72.64 Ge.upf
Br 79.90 Br.upf
Cl 35.45 Cl.upf
ATOMIC_POSITIONS angstrom
La 3.772 2.192 5.269
La -0.012 0.000 5.272
La 6.262 2.192 2.076
La 2.511 0.000 2.043
La 7.523 0.000 5.301
La 3.772 -2.192 5.269
La 10.046 0.000 2.072
La 6.262 -2.192 2.076
Ge 1.254 2.173 3.672
Ge 1.254 -2.173 3.672
Ge 5.017 0.000 3.672
Br 0.000 0.000 0.000
Br 3.763 2.173 0.000
Br 3.763 -2.173 0.000
Br 7.527 0.000 0.000
Cl -2.510 0.000 3.672
CELL_PARAMETERS angstrom
7.527 -4.345 0.000
7.527 4.345 0.000
-5.020 0.000 7.344
```

## Properties
Formation energy from raw total energies (eV per formula unit): -20.8



2.
A relaxed La6Ge2BrCl3 crystal. Source: Alexandria, functional PBE. Values from VASP.

```
&SYSTEM
  ibrav = 0, nat = 12, ntyp = 4
/
ATOMIC_SPECIES
La 138.91 La.upf
Ge 72.64 Ge.upf
Br 79.90 Br.upf
Cl 35.45 Cl.upf
ATOMIC_POSITIONS angstrom
La -0.059 2.268 5.120
La 1.157 0.000 1.708
La -0.059 -2.268 5.120
La 5.070 2.268 1.703
La 3.853 0.000 5.115
La 5.070 -2.268 1.703
Ge 3.769 4.367 0.000
Ge 3.769 -4.367 0.000
Br 3.769 0.000 0.000
Cl -1.263 0.000 3.412
Cl 2.505 2.187 3.412
Cl 2.505 -2.187 3.412
CELL_PARAMETERS angstrom
3.769 -6.539 0.000
3.769 6.539 0.000
-2.527 0.000 6.823
```

## Properties
Formation energy from raw total energies (eV per formula unit): -16.7



3.
A relaxed La3GeBrCl crystal. Source: Alexandria, functional PBE. Values from VASP.

```
&SYSTEM
  ibrav = 0, nat = 12, ntyp = 4
/
ATOMIC_SPECIES
La 138.91 La.upf
Ge 72.64 Ge.upf
Br 79.90 Br.upf
Cl 35.45 Cl.upf
ATOMIC_POSITIONS angstrom
La 1.075 1.063 1.051
La 0.390 1.063 4.176
La 1.019 3.190 7.590
La 6.016 1.063 1.681
La 6.645 3.190 5.095
La 5.960 3.190 8.221
Ge -1.104 1.063 7.070
Ge 8.139 3.190 2.201
Br 3.485 3.190 1.379
Br 3.549 1.063 7.892
Cl 2.210 3.190 5.038
Cl 4.824 1.063 4.234
CELL_PARAMETERS angstrom
9.122 0.000 0.000
0.000 4.253 0.000
-2.088 0.000 9.271
```

## Properties
Formation energy from raw total energies (eV per formula unit): -7.8



4.
A relaxed La4GeBr2Cl crystal. Source: Alexandria, functional PBE. Values from VASP.

```
&SYSTEM
  ibrav = 0, nat = 8, ntyp = 4
/
ATOMIC_SPECIES
La 138.91 La.upf
Ge 72.64 Ge.upf
Br 79.90 Br.upf
Cl 35.45 Cl.upf
ATOMIC_POSITIONS angstrom
La 1.161 0.000 1.607
La -0.150 2.178 5.625
La 4.863 2.178 1.625
La 3.551 0.000 5.644
Ge 3.650 0.000 0.000
Br -1.294 0.000 3.625
Br 2.356 2.178 3.625
Cl 0.000 2.178 0.000
CELL_PARAMETERS angstrom
7.300 0.000 0.000
0.000 4.357 0.000
-2.587 0.000 7.251
```

## Properties
Formation energy from raw total energies (eV per formula unit): -10.6



5.
A relaxed La6Ge2Br3Cl crystal. Source: Alexandria, functional PBE. Values from VASP.

```
&SYSTEM
  ibrav = 0, nat = 12, ntyp = 4
/
ATOMIC_SPECIES
La 138.91 La.upf
Ge 72.64 Ge.upf
Br 79.90 Br.upf
Cl 35.45 Cl.upf
ATOMIC_POSITIONS angstrom
La 1.233 2.154 1.605
La -0.035 0.000 5.683
La 1.233 -2.154 1.605
La 3.728 2.154 5.706
La 4.996 0.000 1.629
La 3.728 -2.154 5.706
Ge 3.737 2.151 0.000
Ge 3.737 -2.151 0.000
Br 2.481 4.237 3.656
Br 2.481 0.000 3.656
Br 2.481 -4.237 3.656
Cl 0.000 0.000 0.000
CELL_PARAMETERS angstrom
3.737 -6.491 0.000
3.737 6.491 0.000
-2.513 0.000 7.311
```

## Properties
Formation energy from raw total energies (eV per formula unit): -15.7



6.
A relaxed La8Ge3BrCl4 crystal. Source: Alexandria, functional PBE. Values from VASP.

```
&SYSTEM
  ibrav = 0, nat = 16, ntyp = 4
/
ATOMIC_SPECIES
La 138.91 La.upf
Ge 72.64 Ge.upf
Br 79.90 Br.upf
Cl 35.45 Cl.upf
ATOMIC_POSITIONS angstrom
La -2.344 -1.353 11.901
La 0.000 -2.707 8.489
La -2.344 1.353 8.489
La 0.000 0.000 5.014
La 0.000 0.000 15.377
La 2.344 -1.353 11.901
La 0.000 2.707 11.901
La 2.344 1.353 8.489
Ge -4.393 0.000 10.195
Ge -2.197 1.268 3.398
Ge 2.197 1.268 3.398
Br 0.000 0.000 10.195
Cl 0.000 0.000 0.000
Cl -2.197 -1.268 6.797
Cl -2.197 1.268 13.594
Cl 0.000 2.536 6.797
CELL_PARAMETERS angstrom
4.393 2.536 6.797
-4.393 2.536 6.797
0.000 -5.073 6.797
```

## Properties
Formation energy from raw total energies (eV per formula unit): -22.0



7.
A relaxed La6GeBr3Cl2 crystal. Source: Alexandria, functional PBE. Values from VASP.

```
&SYSTEM
  ibrav = 0, nat = 12, ntyp = 4
/
ATOMIC_SPECIES
La 138.91 La.upf
Ge 72.64 Ge.upf
Br 79.90 Br.upf
Cl 35.45 Cl.upf
ATOMIC_POSITIONS angstrom
La -0.038 2.104 5.800
La 1.142 0.000 1.659
La -0.038 -2.104 5.800
La 4.796 2.104 1.714
La 3.617 0.000 5.856
La 4.796 -2.104 1.714
Ge 3.590 0.000 0.000
Br -1.211 0.000 3.757
Br 2.379 1.968 3.757
Br 2.379 -1.968 3.757
Cl 3.590 4.136 0.000
Cl 3.590 -4.136 0.000
CELL_PARAMETERS angstrom
3.590 -6.246 0.000
3.590 6.246 0.000
-2.422 0.000 7.514
```

## Properties
Formation energy from raw total energies (eV per formula unit): -16.2



8.
A relaxed LiGeBrCl2 crystal. Source: Alexandria, functional PBE. Values from VASP.

```
&SYSTEM
  ibrav = 0, nat = 10, ntyp = 4
/
ATOMIC_SPECIES
Li 6.94 Li.upf
Ge 72.64 Ge.upf
Br 79.90 Br.upf
Cl 35.45 Cl.upf
ATOMIC_POSITIONS angstrom
Li 0.307 1.276 1.168
Li 5.926 3.827 7.288
Ge 1.272 1.276 4.880
Ge 4.961 3.827 3.576
Br 2.516 1.276 2.584
Br 3.717 3.827 5.873
Cl -0.270 1.276 7.244
Cl 0.394 3.827 4.854
Cl 5.838 1.276 3.602
Cl 6.503 3.827 1.212
CELL_PARAMETERS angstrom
6.794 0.000 0.000
0.000 5.102 0.000
-0.561 0.000 8.456
```

## Properties
Formation energy from raw total energies (eV per formula unit): -5.2